# NdAl11Cr | Alexandria via LeMat-Bulk | GGA-PBE | optimized geometry
# - Energy relative to the elements: -0.16 eV per atom
# - Total magnetic moment: 0.24 μB per formula unit
data_NdAl11Cr
_chemical_formula_sum 'Nd2 Al22 Cr2'
_symmetry_space_group_name_H-M 'C 1 2/m 1'
_symmetry_Int_Tables_number 12
_cell_length_a 5.242
_cell_length_b 12.733
_cell_length_c 7.154
_cell_angle_alpha 90.00
_cell_angle_beta 110.84
_cell_angle_gamma 90.00
loop_
_symmetry_equiv_pos_as_xyz
'x,y,z'
'-x,-y,-z'
'-x,y,-z'
'x,-y,z'
'x+1/2,y+1/2,z'
'-x+1/2,-y+1/2,-z'
'-x+1/2,y+1/2,-z'
'x+1/2,-y+1/2,z'
loop_
_atom_site_label
_atom_site_type_symbol
_atom_site_fract_x
_atom_site_fract_y
_atom_site_fract_z
Nd1 Nd 0.000 0.000 0.000
Al1 Al 0.000 0.000 0.500
Al2 Al 0.108 0.392 0.227
Al3 Al 0.200 0.172 0.363
Al4 Al 0.250 0.250 0.000
Cr1 Cr 0.000 0.500 0.500